Record 1
FeGeAu3 | PBE | relaxed

Its crystal system is cubic. The value obtained for the energy above the most stable polymorph in this dataset is 0.00 eV/f.u. Its formation enthalpy at 0 K is 0.749 eV per atom. The calculation puts the density of states at the Fermi level at 3.1 states/eV/f.u. The density is 10.56 g/cm3.

It has space group Pm-3m (No. 221), with a = 4.8365 Å, b = 4.8365 Å, c = 4.8365 Å, α = 90.00°, β = 90.00° and γ = 90.00°. The asymmetric unit holds Fe at (0.0000, 0.0000, 0.0000), Ge at (0.5000, 0.5000, 0.5000) and Au at (0.0000, 0.0000, 0.5000).

---

Record 2
FeGeAu3 | PBE | relaxed

Its crystal system is cubic. The value obtained for the energy above the most stable polymorph in this dataset is 0.20 eV/f.u. Its formation enthalpy at 0 K is 0.788 eV per atom. The calculation puts the density of states at the Fermi level at 5.2 states/eV/f.u. The density is 10.53 g/cm3.

It has space group Pm-3m (No. 221), with a = 4.8402 Å, b = 4.8402 Å, c = 4.8402 Å, α = 90.00°, β = 90.00° and γ = 90.00°. The asymmetric unit holds Fe at (0.0000, 0.0000, 0.0000), Ge at (0.5000, 0.5000, 0.5000) and Au at (0.0000, 0.5000, 0.5000).